A relaxed GdSbN2O crystal, computed with PBE.

abc: 7.855 5.612 5.787
angles: 90.00 90.00 90.00
Space group Pmc2_1 (No. 26)
One atom of each set of equivalent atoms:
Gd  0.000  0.236  0.000 (multiplicity 2)
Gd  0.500  0.254  0.884 (multiplicity 2)
Sb  0.246  0.237  0.445 (multiplicity 4)
N  0.000  0.367  0.397 (multiplicity 2)
N  0.202  0.066  0.753 (multiplicity 4)
N  0.500  0.156  0.481 (multiplicity 2)
O  0.307  0.449  0.144 (multiplicity 4)

Calculated values
E: -7.041 eV per atom